Material: K3HgI4
Method: DFT, PBE-GGA
State: relaxed

The structure in extended XYZ format:
```
16
Lattice="12.1405 0.0000 0.0000 0.0000 10.3575 0.0000 0.0000 0.0000 6.8134" Properties=species:S:1:pos:R:3 pbc="T T T"
K 0.0000 1.6131 0.0004
K 2.9576 3.4371 3.4067
K 3.1127 6.9204 0.0000
K 6.0702 8.7444 3.4071
K 9.0278 6.9204 0.0000
K 9.1829 3.4371 3.4067
Hg 0.0000 8.5189 3.4046
Hg 6.0702 1.8386 6.8113
I 0.0000 1.5278 3.4079
I 0.0000 8.4888 0.0055
I 2.9978 6.9683 3.4066
I 3.0724 3.3892 6.8133
I 6.0702 1.8687 3.4122
I 6.0702 8.8297 0.0012
I 9.0681 3.3892 6.8133
I 9.1426 6.9683 3.4066
```

* crystal system: orthorhombic
* ΔE_f (raw): -1.070 eV/atom
* SG: Pmn2_1, No. 31


Material: BaLaPb2
Method: DFT, PBE-GGA
State: relaxed

The structure in extended XYZ format:
```
8
Lattice="-4.5920 4.5920 3.6666 4.5920 -4.5920 3.6666 4.5920 4.5920 -3.6666" Properties=species:S:1:pos:R:3 pbc="T T T"
Ba 0.0000 0.0000 0.0000
Ba 0.0000 4.5920 1.8333
La 4.5920 0.0000 1.8333
La 0.0000 0.0000 3.6666
Pb 2.2960 -2.1402 2.7499
Pb 2.4518 2.2960 0.9166
Pb 2.2960 6.7322 -0.9166
Pb 2.1402 2.2960 4.5832
```

* formation energy from the elements: -242 meV/atom
* crystal system: tetragonal
* SG: I-42d, No. 122


Material: Pa3Fe2P4
Method: DFT, PBE-GGA
State: relaxed

The structure in extended XYZ format:
```
9
Lattice="5.4764 -1.9830 0.0000 5.4764 1.9830 0.0000 -3.5203 0.0000 7.1893" Properties=species:S:1:pos:R:3 pbc="T T T"
Pa 0.0000 0.0000 0.0000
Pa 3.0331 0.0000 2.0660
Pa 4.3992 0.0000 5.1233
Fe 1.2748 0.0000 4.4673
Fe 6.1575 0.0000 2.7219
P -0.3272 0.0000 2.8487
P 0.2480 0.0000 6.4397
P 7.1844 0.0000 0.7496
P 7.7596 0.0000 4.3406
```

* formation energy from the elements: -1008 meV/atom
* crystal system: monoclinic
* SG: C2/m, No. 12


Material: In2HgI2
Method: DFT, PBE-GGA
State: relaxed

The structure in extended XYZ format:
```
5
Lattice="5.1252 -4.0306 0.0000 5.1252 4.0306 0.0000 -1.2373 0.0000 5.1051" Properties=species:S:1:pos:R:3 pbc="T T T"
In 5.1252 2.1912 0.0000
In 5.1252 -2.1912 0.0000
Hg -0.6186 0.0000 2.5526
I 2.9765 0.0000 0.9887
I 6.0367 0.0000 4.1164
```

* crystal system: monoclinic
* relative energy among the computed polymorphs: 42.7 meV per atom
* ΔE_f (raw): -0.304 eV/atom
* SG: C2/m, No. 12


Material: Al2FeNi
Method: DFT, PBE-GGA
State: relaxed

The structure in extended XYZ format:
```
4
Lattice="0.0000 2.9420 2.9420 2.9420 0.0000 2.9420 2.9420 2.9420 0.0000" Properties=species:S:1:pos:R:3 pbc="T T T"
Al 0.0000 0.0000 0.0000
Al 1.4710 1.4710 1.4710
Fe 4.4130 4.4130 4.4130
Ni 2.9420 2.9420 2.9420
```

* formation energy from the elements: -158 meV/atom
* crystal system: cubic
* SG: F-43m, No. 216


Material: Cr3RePd
Method: DFT, PBE-GGA
State: relaxed

The structure in extended XYZ format:
```
5
Lattice="4.3893 0.0000 0.0000 0.0000 4.3893 0.0000 0.0000 0.0000 4.3893" Properties=species:S:1:pos:R:3 pbc="T T T"
Cr 0.0000 0.0000 2.1946
Cr 0.0000 2.1946 0.0000
Cr 2.1946 0.0000 0.0000
Re 2.1946 2.1946 2.1946
Pd 0.0000 0.0000 0.0000
```

* formation energy from the elements: 2203 meV/atom
* crystal system: cubic
* relative energy among the computed polymorphs: 629.6 meV per atom
* SG: Pm-3m, No. 221


Material: ReIr3Rh
Method: DFT, PBE-GGA
State: relaxed

The structure in extended XYZ format:
```
5
Lattice="4.6932 0.0000 0.0000 0.0000 4.6932 0.0000 0.0000 0.0000 4.6932" Properties=species:S:1:pos:R:3 pbc="T T T"
Re 0.0000 0.0000 0.0000
Ir 0.0000 0.0000 2.3466
Ir 0.0000 2.3466 0.0000
Ir 2.3466 0.0000 0.0000
Rh 2.3466 2.3466 2.3466
```

* formation energy from the elements: 1913 meV/atom
* crystal system: cubic
* relative energy among the computed polymorphs: 2010.2 meV per atom
* SG: Pm-3m, No. 221


Material: VCrSn
Method: DFT, PBE-GGA
State: relaxed

The structure in extended XYZ format:
```
6
Lattice="3.0379 0.0000 0.0000 -1.5189 2.6309 0.0000 0.0000 0.0000 12.3619" Properties=species:S:1:pos:R:3 pbc="T T T"
V 0.0000 0.0000 0.0000
V 0.0000 1.7539 6.1810
Cr 0.0000 1.7539 1.7755
Cr 0.0000 1.7539 10.5864
Sn 0.0000 0.0000 3.9826
Sn 0.0000 0.0000 8.3793
```

* formation energy from the elements: 364 meV/atom
* crystal system: hexagonal
* SG: P-6m2, No. 187


Material: TbHoPd2
Method: DFT, PBE-GGA
State: relaxed

The structure in extended XYZ format:
```
4
Lattice="4.5308 0.0000 0.0000 0.0000 1.8769 5.2806 0.0000 -1.8769 5.2806" Properties=species:S:1:pos:R:3 pbc="T T T"
Tb 0.0000 0.0000 0.0000
Ho 2.2654 0.0000 7.6571
Pd 0.0000 0.0000 2.9078
Pd 2.2654 0.0000 4.7347
```

* formation energy from the elements: -918 meV/atom
* crystal system: orthorhombic
* relative energy among the computed polymorphs: 0.0 meV per atom
* SG: Amm2, No. 38


Material: Rb2MgBe2
Method: DFT, PBE-GGA
State: relaxed

The structure in extended XYZ format:
```
10
Lattice="10.3511 0.0000 0.0000 0.0000 10.3511 0.0000 0.0000 0.0000 3.2205" Properties=species:S:1:pos:R:3 pbc="T T T"
Rb 2.0906 3.0850 0.0000
Rb 3.0850 8.2605 0.0000
Rb 7.2661 2.0906 0.0000
Rb 8.2605 7.2661 0.0000
Mg 0.0000 0.0000 0.0000
Mg 5.1755 5.1755 0.0000
Be 0.7624 5.9380 1.6103
Be 4.4131 0.7624 1.6103
Be 5.9380 9.5887 1.6103
Be 9.5887 4.4131 1.6103
```

* formation energy from the elements: 1045 meV/atom
* crystal system: tetragonal
* relative energy among the computed polymorphs: 304.5 meV per atom
* SG: P4/mbm, No. 127


Material: Np2As3Ru
Method: DFT, PBE-GGA
State: relaxed

The structure in extended XYZ format:
```
6
Lattice="-2.0455 2.8179 5.4716 2.0455 -2.8179 5.4716 2.0455 2.8179 -5.4716" Properties=species:S:1:pos:R:3 pbc="T T T"
Np 0.0000 0.0000 1.9250
Np 0.0000 0.0000 9.0182
As 2.0455 0.0000 0.0000
As 2.0455 0.0000 3.9275
As 0.0000 2.8179 1.5441
Ru 0.0000 0.0000 5.4716
```

* formation energy from the elements: -382 meV/atom
* crystal system: orthorhombic
* SG: Immm, No. 71


Material: Th6C3SeN2
Method: DFT, PBE-GGA
State: relaxed

The structure in extended XYZ format:
```
12
Lattice="8.3966 -1.9006 0.0000 8.3966 1.9006 0.0000 -1.8012 0.0000 7.5140" Properties=species:S:1:pos:R:3 pbc="T T T"
Th -0.3670 0.0000 1.6529
Th 4.6755 0.0000 3.0661
Th 3.9154 0.0000 6.9116
Th 11.0767 0.0000 0.6023
Th 10.3165 0.0000 4.4479
Th 15.3591 0.0000 5.8610
C 2.2395 0.0000 2.4791
C 8.3966 0.0000 0.0000
C 12.7526 0.0000 5.0349
Se 7.4960 0.0000 3.7570
N 1.4607 0.0000 6.3101
N 13.5314 0.0000 1.2038
```

* crystal system: monoclinic
* ΔE_f (raw): -0.894 eV/atom
* SG: C2/m, No. 12


Material: Hf3Ti2Sb3
Method: DFT, PBE-GGA
State: relaxed

The structure in extended XYZ format:
```
16
Lattice="8.2476 0.0000 0.0000 -4.1238 7.1426 0.0000 0.0000 0.0000 5.5354" Properties=species:S:1:pos:R:3 pbc="T T T"
Hf -0.9666 1.6742 1.3838
Hf -3.1572 5.4684 4.1515
Hf 1.9332 0.0000 1.3838
Hf 0.9666 1.6742 4.1515
Hf 6.3144 0.0000 4.1515
Hf 3.1572 5.4684 1.3838
Ti 0.0000 4.7617 0.0000
Ti 0.0000 4.7617 2.7677
Ti 4.1238 2.3809 0.0000
Ti 4.1238 2.3809 2.7677
Sb -1.6496 2.8572 4.1515
Sb -2.4742 4.2854 1.3838
Sb 3.2992 0.0000 4.1515
Sb 1.6496 2.8572 1.3838
Sb 4.9484 0.0000 1.3838
Sb 2.4742 4.2854 4.1515
```

* crystal system: hexagonal
* ΔE_f (raw): -0.501 eV/atom
* SG: P6_3/mcm, No. 193


Material: AcPm2Re
Method: DFT, PBE-GGA
State: relaxed

The structure in extended XYZ format:
```
4
Lattice="1.7339 1.0011 11.7655 -1.7339 1.0011 11.7655 0.0000 -2.0022 11.7655" Properties=species:S:1:pos:R:3 pbc="T T T"
Ac 0.0000 0.0000 0.0000
Pm 0.0000 0.0000 15.0387
Pm 0.0000 0.0000 20.2579
Re 0.0000 0.0000 17.6483
```

* formation energy from the elements: 988 meV/atom
* crystal system: trigonal
* SG: R-3m, No. 166


Material: Cd2MoOs
Method: DFT, PBE-GGA
State: relaxed

The structure in extended XYZ format:
```
4
Lattice="2.7629 0.0000 0.0000 0.0000 4.8413 0.0000 -0.9356 0.0000 5.1979" Properties=species:S:1:pos:R:3 pbc="T T T"
Cd 0.3364 0.0000 1.3146
Cd 1.4909 0.0000 3.8833
Mo 1.3814 2.4207 0.0000
Os -0.4678 2.4207 2.5989
```

* formation energy from the elements: 612 meV/atom
* crystal system: monoclinic
* relative energy among the computed polymorphs: 422.1 meV per atom
* SG: P2/m, No. 10


Material: Ac3GeN
Method: DFT, PBE-GGA
State: relaxed

The structure in extended XYZ format:
```
5
Lattice="5.2590 0.0000 0.0000 0.0000 5.2590 0.0000 0.0000 0.0000 5.2590" Properties=species:S:1:pos:R:3 pbc="T T T"
Ac 0.0000 0.0000 2.6295
Ac 0.0000 2.6295 0.0000
Ac 2.6295 0.0000 0.0000
Ge 2.6295 2.6295 2.6295
N 0.0000 0.0000 0.0000
```

* crystal system: cubic
* relative energy among the computed polymorphs: 28.0 meV per atom
* ΔE_f (raw): -0.658 eV/atom
* SG: Pm-3m, No. 221


Material: Pm6DyTm6
Method: DFT, PBE-GGA
State: relaxed

The structure in extended XYZ format:
```
13
Lattice="6.6989 0.0000 0.0000 -3.3495 5.8015 0.0000 0.0000 0.0000 11.3477" Properties=species:S:1:pos:R:3 pbc="T T T"
Pm 0.0000 0.0000 1.7995
Pm 0.0000 0.0000 9.5482
Pm 0.0000 3.8676 0.0000
Pm 0.0000 3.8676 5.6738
Pm 3.3495 1.9338 0.0000
Pm 3.3495 1.9338 5.6738
Dy 0.0000 0.0000 5.6738
Tm -1.6747 2.9007 2.8978
Tm -1.6747 2.9007 8.4499
Tm 3.3495 0.0000 2.8978
Tm 3.3495 0.0000 8.4499
Tm 1.6747 2.9007 2.8978
Tm 1.6747 2.9007 8.4499
```

* formation energy from the elements: 266 meV/atom
* crystal system: hexagonal
* SG: P6/mmm, No. 191


Material: FeRe2Hg
Method: DFT, PBE-GGA
State: relaxed

The structure in extended XYZ format:
```
4
Lattice="-1.9832 1.9832 3.8964 1.9832 -1.9832 3.8964 1.9832 1.9832 -3.8964" Properties=species:S:1:pos:R:3 pbc="T T T"
Fe 0.0000 0.0000 0.0000
Re 0.0000 0.0000 3.8964
Re 0.0000 1.9832 1.9482
Hg 1.9832 0.0000 1.9482
```

* formation energy from the elements: 636 meV/atom
* crystal system: tetragonal
* relative energy among the computed polymorphs: 265.4 meV per atom
* SG: I-4m2, No. 119


Material: SrGa3B
Method: DFT, PBE-GGA
State: relaxed

The structure in extended XYZ format:
```
5
Lattice="4.6416 0.0000 0.0000 0.0000 4.6416 0.0000 0.0000 0.0000 4.6416" Properties=species:S:1:pos:R:3 pbc="T T T"
Sr 0.0000 0.0000 0.0000
Ga 0.0000 2.3208 2.3208
Ga 2.3208 0.0000 2.3208
Ga 2.3208 2.3208 0.0000
B 2.3208 2.3208 2.3208
```

* formation energy from the elements: 235 meV/atom
* crystal system: cubic
* relative energy among the computed polymorphs: 0.0 meV per atom
* SG: Pm-3m, No. 221


Material: Ca2Pr5Y
Method: DFT, PBE-GGA
State: relaxed

The structure in extended XYZ format:
```
8
Lattice="-2.6236 2.6236 10.7057 2.6236 -2.6236 10.7057 2.6236 2.6236 -10.7057" Properties=species:S:1:pos:R:3 pbc="T T T"
Ca 0.0000 0.0000 5.3463
Ca 0.0000 0.0000 16.0650
Pr 0.0000 0.0000 0.0000
Pr 2.6236 0.0000 2.5347
Pr 2.6236 0.0000 8.1710
Pr 0.0000 2.6236 2.5347
Pr 0.0000 2.6236 8.1710
Y 0.0000 0.0000 10.7057
```

* formation energy from the elements: 36 meV/atom
* crystal system: tetragonal
* SG: I4/mmm, No. 139


Material: ThScInPb
Method: DFT, PBE-GGA
State: relaxed

The structure in extended XYZ format:
```
4
Lattice="0.0000 3.7884 3.7884 3.7884 0.0000 3.7884 3.7884 3.7884 0.0000" Properties=species:S:1:pos:R:3 pbc="T T T"
Th 0.0000 0.0000 0.0000
Sc 3.7884 3.7884 3.7884
In 5.6826 5.6826 5.6826
Pb 1.8942 1.8942 1.8942
```

* formation energy from the elements: -217 meV/atom
* crystal system: cubic
* SG: F-43m, No. 216


Material: CrCuTe2N
Method: DFT, PBE-GGA
State: relaxed

The structure in extended XYZ format:
```
5
Lattice="5.3007 0.0000 0.0000 0.0000 5.3007 0.0000 0.0000 0.0000 3.4999" Properties=species:S:1:pos:R:3 pbc="T T T"
Cr 0.0000 0.0000 0.0000
Cu 2.6504 2.6504 1.7499
Te 0.0000 2.6504 0.0000
Te 2.6504 0.0000 0.0000
N 0.0000 0.0000 1.7499
```

* crystal system: tetragonal
* relative energy among the computed polymorphs: 0.0 meV per atom
* ΔE_f (raw): 0.327 eV/atom
* SG: P4/mmm, No. 123


Material: HfTi2Zn2Pt2
Method: DFT, PBE-GGA
State: relaxed

The structure in extended XYZ format:
```
7
Lattice="3.8494 -2.2124 0.0000 3.8494 2.2124 0.0000 -2.5065 0.0000 6.8712" Properties=species:S:1:pos:R:3 pbc="T T T"
Hf 0.0000 0.0000 0.0000
Ti 2.5678 0.0000 1.8078
Ti 2.6245 0.0000 5.0634
Zn 0.0095 0.0000 2.9017
Zn 5.1828 0.0000 3.9695
Pt 0.0655 0.0000 5.5029
Pt 5.1269 0.0000 1.3683
```

* formation energy from the elements: -553 meV/atom
* crystal system: monoclinic
* SG: C2/m, No. 12


Material: PrTmGa2Au2
Method: DFT, PBE-GGA
State: relaxed

The structure in extended XYZ format:
```
6
Lattice="4.5526 0.0000 0.0000 -2.2763 3.9427 0.0000 0.0000 0.0000 7.3234" Properties=species:S:1:pos:R:3 pbc="T T T"
Pr 0.0000 0.0000 0.0000
Tm 0.0000 0.0000 3.6617
Ga 0.0000 2.6284 5.3247
Ga 2.2763 1.3142 1.9986
Au 0.0000 2.6284 2.0646
Au 2.2763 1.3142 5.2588
```

* formation energy from the elements: -778 meV/atom
* crystal system: trigonal
* SG: P-3m1, No. 164


Material: Ac2La3ThAs6
Method: DFT, PBE-GGA
State: relaxed

The structure in extended XYZ format:
```
12
Lattice="9.5989 -2.2032 0.0000 9.5989 2.2032 0.0000 -2.0093 0.0000 8.5999" Properties=species:S:1:pos:R:3 pbc="T T T"
Ac 2.5168 0.0000 2.8666
Ac 14.6716 0.0000 5.7332
La 1.5382 0.0000 7.1716
La 8.5942 0.0000 4.2999
La 15.6503 0.0000 1.4282
Th 9.5989 0.0000 0.0000
As -1.4747 0.0000 6.5414
As 5.6272 0.0000 3.5280
As 4.6197 0.0000 7.9622
As 12.5687 0.0000 0.6377
As 11.5612 0.0000 5.0719
As 18.6631 0.0000 2.0584
```

* formation energy from the elements: -1520 meV/atom
* crystal system: monoclinic
* SG: C2/m, No. 12


Material: VBiSe2Br
Method: DFT, PBE-GGA
State: relaxed

The structure in extended XYZ format:
```
5
Lattice="4.9076 0.0000 0.0000 0.0000 4.9076 0.0000 0.0000 0.0000 4.8926" Properties=species:S:1:pos:R:3 pbc="T T T"
V 0.0000 0.0000 0.0000
Bi 2.4538 2.4538 2.4463
Se 0.0000 2.4538 0.0000
Se 2.4538 0.0000 0.0000
Br 0.0000 0.0000 2.4463
```

* crystal system: tetragonal
* relative energy among the computed polymorphs: 0.0 meV per atom
* ΔE_f (raw): -0.123 eV/atom
* SG: P4/mmm, No. 123


Number 1: magnetic moment 0.00 μB/cell. Number 2: magnetic moment 0.00 μB/cell. Number 3: magnetic moment 0.00 μB/cell. Number 4: magnetic moment 0.00 μB/cell. Number 5: magnetic moment 2.05 μB/cell. Number 6: magnetic moment 0.00 μB/cell. Number 7: magnetic moment 1.31 μB/cell. Number 8: magnetic moment 2.03 μB/cell. Number 9: magnetic moment 0.00 μB/cell. Number 10: magnetic moment 0.00 μB/cell. Number 11: magnetic moment 6.73 μB/cell. Number 12: magnetic moment 0.00 μB/cell. Number 13: magnetic moment 0.00 μB/cell. Number 14: magnetic moment 0.00 μB/cell. Number 15: magnetic moment 0.00 μB/cell. Number 16: magnetic moment 0.00 μB/cell. Number 17: magnetic moment 2.54 μB/cell. Number 18: magnetic moment 2.60 μB/cell. Number 19: magnetic moment 0.00 μB/cell. Number 20: magnetic moment 0.00 μB/cell. Number 21: magnetic moment 0.00 μB/cell. Number 22: magnetic moment 1.20 μB/cell. Number 23: magnetic moment 0.00 μB/cell. Number 24: magnetic moment 0.00 μB/cell. Number 25: magnetic moment 0.00 μB/cell. Number 26: magnetic moment 2.57 μB/cell.